Run i
DFT (PBE+U) results for an optimized crystal structure of BaNiO.

POSCAR file:
```
BaNiO
1.0
4.1038 0.0000 0.0000
0.0000 4.1038 0.0000
0.0000 0.0000 8.0534
Ba Ni O
2 2 2
Cartesian
0.0000 2.0519 6.1072
2.0519 0.0000 1.9463
0.0000 2.0519 3.3872
2.0519 0.0000 4.6662
2.0519 2.0519 4.0267
0.0000 0.0000 4.0267
```

Output
The value obtained for the volume is 135.6 Å³/cell. Its space group is P4/nmm. The size of the total moment comes out at 1.3 μB per formula unit.

***

Run ii
DFT (PBE+U) results for an optimized crystal structure of BaNiO.

POSCAR file:
```
BaNiO
1.0
5.6726 -0.1705 0.0001
0.2594 5.6739 -0.0002
0.0001 -0.0001 3.8879
Ni O Ba
2 2 2
Cartesian
0.3294 2.8241 2.9922
4.0704 4.7341 2.9916
3.7933 5.0339 1.0477
1.6418 1.4046 2.9922
3.2810 2.2283 1.0482
0.9560 5.5054 1.0480
```

Output
The value obtained for the volume is 125.3 Å³/cell. Its space group is Amm2. The size of the total moment comes out at 0.0 μB per formula unit.

***

Run iii
DFT (PBE+U) results for an optimized crystal structure of BaNiO.

POSCAR file:
```
BaNiO
1.0
3.8950 0.0006 -0.0002
-3.9041 8.4166 -0.1093
-0.0002 1.0394 3.9051
Ba O Ni
2 2 2
Cartesian
-2.7334 7.4490 2.7088
1.1675 2.7412 1.8334
-0.7868 7.3796 0.6384
1.1684 4.9115 3.3469
3.1142 0.6843 0.2905
-0.7791 4.5819 3.4324
```

Output
The value obtained for the volume is 128.5 Å³/cell. Its space group is P1. The size of the total moment comes out at 0.2 μB per formula unit.

***

Run iv
DFT (PBE+U) results for an optimized crystal structure of BaNiO.

POSCAR file:
```
BaNiO
1.0
3.8710 0.0016 0.0000
-0.0014 8.3635 -0.0013
0.0001 -0.0010 3.9399
O Ni Ba
2 2 2
Cartesian
0.1311 5.6891 0.4677
0.1283 8.1083 2.4404
0.1278 3.6883 0.4729
0.1281 7.7230 0.4711
2.0646 1.5209 2.4434
2.0659 5.8802 2.4393
```

Output
The value obtained for the volume is 127.6 Å³/cell. Its space group is Pmm2. The size of the total moment comes out at 1.0 μB per formula unit.

***

Which of them is most stable? Easy: run iv.